1.
TbCe2GeN5 (PBE, optimized geometry); size of the total moment = 0.000 μB per atom; formation energy (no corrections) = -0.9845 eV per atom; space group = Cmc2_1, No. 36
1.0
-2.289 2.432 -0.078
0.245 -2.316 -7.873
-6.886 -6.425 1.676
Ce N Tb Ge
4 10 2 2
direct
0.102 0.204 0.676
0.111 0.222 0.295
0.898 0.796 0.176
0.889 0.778 0.795
0.639 0.279 0.520
0.313 0.627 0.682
0.962 0.925 0.550
0.658 0.316 0.860
0.361 0.721 0.020
0.495 0.990 0.783
0.687 0.373 0.182
0.038 0.075 0.050
0.342 0.684 0.360
0.505 0.010 0.283
0.783 0.566 0.504
0.217 0.434 0.004
0.552 0.105 0.953
0.448 0.895 0.453

---

2.
Li2PmNi9 (PBE, optimized geometry); size of the total moment = 0.196 μB per atom; formation enthalpy at 0 K = -0.135 eV/atom; space group = R-3m, No. 166; relative energy among the computed polymorphs = 7 meV per atom
1.0
-3.150 3.269 -1.731
-4.173 -1.473 -2.005
-5.915 0.946 5.730
Li Ni Pm
2 9 1
direct
0.146 0.146 0.563
0.854 0.854 0.437
0.083 0.586 0.744
0.414 0.917 0.256
0.333 0.333 0.000
0.500 0.500 0.500
0.586 0.083 0.744
0.667 0.667 0.000
0.414 0.414 0.256
0.917 0.414 0.256
0.586 0.586 0.744
0.000 0.000 0.000

---

3.
TcGePS2 (PBE, optimized geometry); size of the total moment = 0.079 μB per atom; formation energy (no corrections) = 0.4722 eV per atom; space group = P4/mmm, No. 123; relative energy among the computed polymorphs = 0 meV per atom
1.0
4.757 0.000 0.000
0.000 4.757 0.000
0.000 0.000 4.486
P Tc S Ge
1 1 2 1
direct
0.000 0.000 0.500
0.000 0.000 0.000
0.500 0.000 0.000
0.000 0.500 0.000
0.500 0.500 0.500

---

4.
Pr2Dy2Hg (PBE, optimized geometry); size of the total moment = 0.000 μB per atom; formation enthalpy at 0 K = -0.099 eV/atom; space group = C2/m, No. 12; relative energy among the computed polymorphs = 84 meV per atom
1.0
8.432 0.000 0.591
4.216 4.775 0.296
4.270 0.000 8.042
Dy Pr Hg
4 4 2
direct
0.666 0.370 0.722
0.036 0.630 0.722
0.334 0.630 0.278
0.964 0.370 0.278
0.736 0.000 0.427
0.606 0.000 0.116
0.264 0.000 0.573
0.394 0.000 0.884
0.167 0.666 0.000
0.833 0.334 0.000

---

5.
K2AsPb (PBE, optimized geometry); size of the total moment = 0.000 μB per atom; formation enthalpy at 0 K = -0.093 eV/atom; space group = P4/mmm, No. 123; relative energy among the computed polymorphs = 221 meV per atom
1.0
3.368 0.000 0.000
0.000 3.368 0.000
0.000 0.000 10.990
Pb K As
1 2 1
direct
0.500 0.500 0.250
0.000 0.000 0.535
0.000 0.000 0.965
0.500 0.500 0.750

---

6.
TcOsRu3 (PBE, optimized geometry); size of the total moment = 0.988 μB per atom; formation enthalpy at 0 K = 2.012 eV/atom; space group = Pm-3m, No. 221; relative energy among the computed polymorphs = 1927 meV per atom
1.0
4.645 0.000 0.000
0.000 4.645 0.000
0.000 0.000 4.645
Tc Ru Os
1 3 1
direct
0.500 0.500 0.500
0.500 0.000 0.000
0.000 0.000 0.500
0.000 0.500 0.000
0.000 0.000 0.000

---

7.
Er6IrRh3 (PBE, optimized geometry); size of the total moment = 0.000 μB per atom; formation enthalpy at 0 K = -0.715 eV/atom; space group = Pnnm, No. 58
1.0
4.711 0.000 0.000
0.000 8.179 0.000
0.000 0.000 11.819
Er Rh Ir
12 6 2
direct
0.000 0.670 0.919
0.500 0.501 0.753
0.000 0.663 0.588
0.500 0.830 0.419
0.000 0.337 0.412
0.500 0.837 0.088
0.000 0.330 0.081
0.000 0.001 0.747
0.500 0.163 0.912
0.500 0.499 0.247
0.000 0.999 0.253
0.500 0.170 0.581
0.500 0.835 0.663
0.000 0.665 0.163
0.000 0.000 0.500
0.000 0.335 0.837
0.500 0.165 0.337
0.500 0.500 0.000
0.500 0.500 0.500
0.000 0.000 0.000

---

8.
AcPb2 (PBE, optimized geometry); size of the total moment = 0.000 μB per atom; formation enthalpy at 0 K = -0.453 eV/atom; space group = Cmmm, No. 65; relative energy among the computed polymorphs = 0 meV per atom
1.0
-3.419 3.173 -1.292
1.153 -0.715 -4.807
-3.950 -7.858 0.222
Pb Ac
4 2
direct
0.500 0.500 0.000
0.182 0.500 0.363
0.000 0.000 0.000
0.818 0.500 0.637
0.648 0.000 0.295
0.352 0.000 0.705

---

9.
AcCeAl (PBE, optimized geometry); size of the total moment = 0.442 μB per atom; formation enthalpy at 0 K = -0.013 eV/atom; space group = R-3m, No. 166; relative energy among the computed polymorphs = 56 meV per atom
1.0
-1.482 -3.939 0.258
2.445 -3.076 1.529
-4.225 0.179 12.934
Ac Ce Al
2 2 2
direct
0.706 0.706 0.383
0.294 0.294 0.617
0.447 0.447 0.160
0.553 0.553 0.840
0.830 0.830 0.011
0.170 0.170 0.989

---

10.
GeMoRuW (PBE, optimized geometry); size of the total moment = 0.000 μB per atom; formation enthalpy at 0 K = 0.041 eV/atom; space group = F-43m, No. 216
1.0
-0.600 -2.259 3.731
2.058 -3.846 0.600
3.269 -0.314 2.933
Mo Ru W Ge
1 1 1 1
direct
0.750 0.750 0.750
0.250 0.250 0.250
0.500 0.500 0.500
0.000 0.000 0.000

---

11.
Y2HoIn3Se6 (PBE, optimized geometry); size of the total moment = 0.000 μB per atom; formation energy (no corrections) = -1.3062 eV per atom; space group = C2/m, No. 12
1.0
-1.109 -6.098 3.629
2.598 -0.226 -6.692
6.716 2.456 3.809
Se Ho Y In
6 1 2 3
direct
0.069 0.401 0.208
0.401 0.069 0.208
0.262 0.262 0.791
0.738 0.738 0.209
0.931 0.599 0.792
0.599 0.931 0.792
0.000 0.000 0.000
0.667 0.333 0.000
0.333 0.667 0.000
0.833 0.167 0.500
0.500 0.500 0.500
0.167 0.833 0.500

---

12.
Zr2MoAu (PBE, optimized geometry); size of the total moment = 0.000 μB per atom; formation enthalpy at 0 K = 0.480 eV/atom; space group = I-42d, No. 122; relative energy among the computed polymorphs = 822 meV per atom
1.0
4.180 0.000 0.000
0.000 4.180 0.000
2.090 2.090 9.619
Zr Mo Au
4 2 2
direct
0.875 0.867 0.750
0.617 0.125 0.250
0.133 0.625 0.250
0.375 0.383 0.750
0.500 0.500 0.000
0.250 0.750 0.500
0.000 0.000 0.000
0.750 0.250 0.500

---

13.
BaCa3Pd (PBE, optimized geometry); size of the total moment = 0.000 μB per atom; formation enthalpy at 0 K = -0.285 eV/atom; space group = P1, No. 1; relative energy among the computed polymorphs = 26 meV per atom
1.0
-1.118 5.123 4.162
3.869 -3.021 5.684
7.592 1.246 -2.339
Ba Ca Pd
2 6 2
direct
0.108 0.848 0.309
0.670 0.593 0.564
0.555 0.172 0.891
0.145 0.307 0.509
0.600 0.140 0.379
0.030 0.905 0.792
0.564 0.654 0.024
0.092 0.380 0.007
0.263 0.569 0.729
0.415 0.937 0.657

---

14.
Cs3K3CaBr8 (PBE, optimized geometry); size of the total moment = 0.000 μB per atom; formation energy (no corrections) = -1.8264 eV per atom; space group = R-3m, No. 166
1.0
9.648 0.000 0.000
-4.824 8.356 -0.029
0.000 -5.542 8.364
Br Cs Ca K
8 3 1 3
direct
0.227 0.014 0.301
0.213 0.986 0.699
0.787 0.575 0.301
0.259 0.518 0.278
0.787 0.014 0.301
0.213 0.425 0.699
0.741 0.482 0.722
0.773 0.986 0.699
0.000 0.000 0.000
0.500 0.500 0.000
0.000 0.500 0.000
0.000 0.000 0.500
0.000 0.500 0.500
0.500 0.500 0.500
0.500 0.000 0.500

---

15.
Hf2Sn2Te (PBE, optimized geometry); size of the total moment = 0.000 μB per atom; formation energy (no corrections) = -0.2610 eV per atom; space group = P4/mbm, No. 127
1.0
7.737 0.000 0.000
0.000 7.737 0.000
0.000 0.000 4.028
Sn Te Hf
4 2 4
direct
0.360 0.140 0.500
0.140 0.640 0.500
0.640 0.860 0.500
0.860 0.360 0.500
0.000 0.000 0.000
0.500 0.500 0.000
0.844 0.656 0.000
0.156 0.344 0.000
0.656 0.156 0.000
0.344 0.844 0.000

---

16.
GaReH2 (PBE, optimized geometry); size of the total moment = 0.000 μB per atom; space group = I-42d, No. 122; relative energy among the computed polymorphs = 0 meV per atom
1.0
5.493 0.000 0.000
0.000 5.493 0.000
2.746 2.746 2.568
Re Ga H
2 2 4
direct
0.000 0.000 0.000
0.750 0.250 0.500
0.250 0.750 0.500
0.500 0.500 0.000
0.875 0.950 0.750
0.700 0.125 0.250
0.050 0.625 0.250
0.375 0.300 0.750

---

17.
Tb8GeTe4S3 (PBE, optimized geometry); size of the total moment = 0.000 μB per atom; formation energy (no corrections) = -1.5758 eV per atom; space group = R-3m, No. 166
1.0
-5.318 -4.722 4.178
6.162 -2.082 5.489
-1.687 7.972 -1.280
Te S Tb Ge
4 3 8 1
direct
0.000 0.000 0.000
0.500 0.000 0.000
0.500 0.000 0.500
0.000 0.000 0.500
0.500 0.500 0.000
0.000 0.500 0.500
0.500 0.500 0.500
0.265 0.289 0.027
0.265 0.295 0.530
0.762 0.289 0.027
0.735 0.711 0.973
0.762 0.289 0.524
0.735 0.705 0.470
0.238 0.711 0.476
0.238 0.711 0.973
0.000 0.500 0.000

---

18.
PaSnAu3 (PBE, optimized geometry); size of the total moment = 0.000 μB per atom; formation enthalpy at 0 K = -0.226 eV/atom; space group = Ama2, No. 40; relative energy among the computed polymorphs = 78 meV per atom
1.0
5.215 -0.113 0.000
-2.496 4.580 0.000
0.000 0.000 10.109
Au Sn Pa
6 2 2
direct
0.241 0.573 0.489
0.241 0.573 0.011
0.230 0.152 0.750
0.573 0.241 0.511
0.152 0.230 0.250
0.573 0.241 0.989
0.476 0.938 0.250
0.938 0.476 0.750
0.904 0.904 0.500
0.904 0.904 0.000